1.
Compound: ErAl2Pt6
Source: Alexandria via LeMat-Bulk
Functional: PBE
Structure: optimized geometry

Lattice parameters (Å, degrees): 4.317 6.377 6.377 118.06 90.00 90.00
Sites, in units of the cell vectors:
1 Pt 0.500 0.512 0.512
2 Pt 0.000 0.242 0.896
3 Pt 0.500 0.569 0.067
4 Pt 0.000 0.772 0.772
5 Pt 0.500 0.067 0.569
6 Pt 0.000 0.896 0.242
7 Al 0.000 0.559 0.312
8 Al 0.000 0.312 0.559
9 Er 0.500 0.071 0.071

Symmetry: Amm2 (38)
E_tot: -54.75 eV for the cell shown
Calculated formation energy: -0.72 eV/atom

2.
Compound: LiPuBiIr
Source: Alexandria via LeMat-Bulk
Functional: PBE
Structure: optimized geometry

Lattice parameters (Å, degrees): 4.836 4.836 4.836 60.00 60.00 60.00
Last column: magnetic moment on the atom in μB.
Sites, in units of the cell vectors:
1 Li 0.250 0.250 0.250  0.04
2 Pu 0.000 0.000 0.000  5.10
3 Ir 0.750 0.750 0.750  -0.32
4 Bi 0.500 0.500 0.500  -0.06

Symmetry: F-43m (216)
E_tot: -30.18 eV for the cell shown
Calculated formation energy: -0.30 eV/atom

3.
Compound: ZrP2Se
Source: Alexandria via LeMat-Bulk
Functional: PBE
Structure: optimized geometry

Lattice parameters (Å, degrees): 3.319 3.319 7.590 90.00 90.00 90.00
Sites, in units of the cell vectors:
1 Se 0.000 0.000 0.579
2 P 0.500 0.500 0.120
3 P 0.000 0.000 0.025
4 Zr 0.500 0.500 0.775

Symmetry: P4mm (99)
E_tot: -24.92 eV for the cell shown

4.
Compound: Pa2BeNi12H3
Source: Alexandria via LeMat-Bulk
Functional: PBE
Structure: optimized geometry

Lattice parameters (Å, degrees): 6.591 6.591 6.591 59.87 59.87 59.87
Sites, in units of the cell vectors:
1 H 0.000 0.500 0.000
2 H 0.000 0.000 0.500
3 H 0.500 0.000 0.000
4 Ni 0.281 0.281 0.905
5 Ni 0.139 0.139 0.575
6 Ni 0.861 0.861 0.425
7 Ni 0.905 0.281 0.281
8 Ni 0.719 0.719 0.095
9 Ni 0.139 0.575 0.139
10 Ni 0.425 0.861 0.861
11 Ni 0.719 0.095 0.719
12 Ni 0.575 0.139 0.139
13 Ni 0.281 0.905 0.281
14 Ni 0.861 0.425 0.861
15 Ni 0.095 0.719 0.719
16 Pa 0.600 0.600 0.600
17 Pa 0.400 0.400 0.400
18 Be 0.000 0.000 0.000

Symmetry: R-3m (166)
E_tot: -104.69 eV for the cell shown

5.
Compound: CaS2N2
Source: Alexandria via LeMat-Bulk
Functional: PBE
Structure: optimized geometry

Lattice parameters (Å, degrees): 4.106 4.106 4.199 90.00 90.00 90.00
Last column: magnetic moment on the atom in μB.
Sites, in units of the cell vectors:
1 N 0.000 0.000 0.000  -0.15
2 N 0.000 0.000 0.500  0.95
3 S 0.000 0.500 0.000  0.10
4 S 0.500 0.000 0.000  0.10
5 Ca 0.500 0.500 0.500  0.01

Symmetry: P4/mmm (123)
E_tot: -22.67 eV for the cell shown
Offset from the most stable computed form: 475.2 meV per atom

6.
Compound: BaInB2Se
Source: Alexandria via LeMat-Bulk
Functional: PBE
Structure: optimized geometry

Lattice parameters (Å, degrees): 5.434 6.141 5.434 90.00 90.00 90.00
Last column: magnetic moment on the atom in μB.
Sites, in units of the cell vectors:
1 Ba 0.000 0.000 0.000  0.10
2 In 0.500 0.500 0.500  0.00
3 Se 0.000 0.500 0.000  -0.02
4 B 0.500 0.000 0.000  0.18
5 B 0.000 0.000 0.500  0.09

Symmetry: P4/mmm (123)
E_tot: -12.93 eV for the cell shown

7.
Compound: CuBCl4
Source: Alexandria via LeMat-Bulk
Functional: PBE
Structure: optimized geometry

Lattice parameters (Å, degrees): 5.850 5.855 10.729 90.00 90.00 90.00
Last column: magnetic moment on the atom in μB.
Sites, in units of the cell vectors:
1 Cl 0.182 0.311 0.099  0.00
2 Cl 0.810 0.818 0.599  0.00
3 Cl 0.182 0.689 0.901  0.00
4 Cl 0.818 0.311 0.901  0.00
5 Cl 0.190 0.818 0.401  0.00
6 Cl 0.190 0.182 0.599  0.00
7 Cl 0.818 0.689 0.099  0.00
8 Cl 0.810 0.182 0.401  0.00
9 B 0.000 0.000 0.500  0.00
10 B 0.000 0.500 0.000  0.00
11 Cu 0.000 0.000 0.000  0.10
12 Cu 0.500 0.000 0.500  0.10

Symmetry: P222 (16)
E_tot: -44.83 eV for the cell shown
Offset from the most stable computed form: 0.0 meV per atom

8.
Compound: CdAsP2
Source: Alexandria via LeMat-Bulk
Functional: PBE
Structure: optimized geometry

Lattice parameters (Å, degrees): 5.534 5.534 5.534 146.05 127.85 63.70
Sites, in units of the cell vectors:
1 Cd 0.234 0.734 0.500
2 P 0.949 0.949 0.000
3 P 0.776 0.276 0.500
4 As 0.541 0.541 0.000

Symmetry: Imm2 (44)
E_tot: -14.90 eV for the cell shown
Offset from the most stable computed form: 222.3 meV per atom
Calculated formation energy: 0.37 eV/atom

9.
Compound: Y3UO6F2
Source: Alexandria via LeMat-Bulk
Functional: PBE
Structure: optimized geometry

Lattice parameters (Å, degrees): 4.718 6.745 6.840 119.54 87.15 90.00
Last column: magnetic moment on the atom in μB.
Sites, in units of the cell vectors:
1 F 0.240 0.669 0.339  0.00
2 F 0.760 0.331 0.661  0.00
3 O 0.727 0.831 0.155  -0.02
4 O 0.296 0.166 0.332  -0.02
5 O 0.273 0.676 0.845  -0.02
6 O 0.727 0.324 0.155  -0.02
7 O 0.704 0.834 0.668  -0.02
8 O 0.273 0.169 0.845  -0.02
9 Y 0.500 0.500 0.500  0.00
10 Y 0.000 0.500 0.000  0.00
11 Y 0.500 0.000 0.500  0.00
12 U 0.500 0.000 0.000  1.07

Symmetry: C2/m (12)
E_tot: -105.65 eV for the cell shown

10.
Compound: Ba4InAg3
Source: Alexandria via LeMat-Bulk
Functional: PBE
Structure: optimized geometry

Lattice parameters (Å, degrees): 4.756 5.099 12.637 90.00 90.00 90.00
Sites, in units of the cell vectors:
1 Ag 0.000 0.000 0.437
2 Ag 0.000 0.500 0.566
3 Ag 0.500 0.000 0.935
4 Ba 0.500 0.500 0.364
5 Ba 0.000 0.000 0.142
6 Ba 0.500 0.000 0.637
7 Ba 0.000 0.500 0.854
8 In 0.500 0.500 0.065

Symmetry: Pmm2 (25)
E_tot: -21.29 eV for the cell shown
Calculated formation energy: -0.29 eV/atom

11.
Compound: In3BiS
Source: Alexandria via LeMat-Bulk
Functional: PBE
Structure: optimized geometry

Lattice parameters (Å, degrees): 5.347 5.347 5.347 90.00 90.00 90.00
Sites, in units of the cell vectors:
1 S 0.000 0.000 0.000
2 Bi 0.500 0.500 0.500
3 In 0.000 0.000 0.500
4 In 0.000 0.500 0.000
5 In 0.500 0.000 0.000

Symmetry: Pm-3m (221)
E_tot: -15.48 eV for the cell shown
Offset from the most stable computed form: 0.0 meV per atom

12.
Compound: Ac6LaPr2
Source: Alexandria via LeMat-Bulk
Functional: PBE
Structure: optimized geometry

Lattice parameters (Å, degrees): 6.753 6.785 8.754 82.54 74.89 80.00
Sites, in units of the cell vectors:
1 Ac 0.557 0.607 0.277
2 Ac 0.781 0.051 0.385
3 Ac 0.672 0.828 0.837
4 Ac 0.219 0.949 0.615
5 Ac 0.328 0.172 0.163
6 Ac 0.443 0.393 0.723
7 Pr 0.891 0.278 0.943
8 Pr 0.109 0.722 0.057
9 La 0.000 0.500 0.500

Symmetry: P-1 (2)
E_tot: -38.89 eV for the cell shown
Offset from the most stable computed form: 0.0 meV per atom
Calculated formation energy: 0.03 eV/atom

13.
Compound: Pa4SnGe3Rh12
Source: Alexandria via LeMat-Bulk
Functional: PBE
Structure: optimized geometry

Lattice parameters (Å, degrees): 8.023 8.023 8.023 109.47 109.47 109.47
Last column: magnetic moment on the atom in μB.
Sites, in units of the cell vectors:
1 Ge 0.000 0.500 0.500  0.01
2 Ge 0.500 0.500 0.000  0.01
3 Ge 0.500 0.000 0.500  0.01
4 Rh 0.000 0.740 0.740  0.05
5 Rh 0.250 0.750 0.500  0.04
6 Rh 0.740 0.000 0.740  0.05
7 Rh 0.750 0.500 0.250  0.04
8 Rh 0.740 0.740 0.000  0.05
9 Rh 0.260 0.000 0.260  0.05
10 Rh 0.500 0.750 0.250  0.04
11 Rh 0.000 0.260 0.260  0.05
12 Rh 0.500 0.250 0.750  0.04
13 Rh 0.260 0.260 0.000  0.05
14 Rh 0.750 0.250 0.500  0.04
15 Rh 0.250 0.500 0.750  0.04
16 Pa 0.500 0.500 0.500  0.94
17 Pa 0.000 0.500 0.000  0.94
18 Pa 0.500 0.000 0.000  0.94
19 Pa 0.000 0.000 0.500  0.94
20 Sn 0.000 0.000 0.000  0.01

Symmetry: Im-3m (229)
E_tot: -144.39 eV for the cell shown
Calculated formation energy: -0.02 eV/atom

14.
Compound: CaBe2Au
Source: Alexandria via LeMat-Bulk
Functional: PBE
Structure: optimized geometry

Lattice parameters (Å, degrees): 4.038 4.038 5.713 69.54 69.54 59.94
Sites, in units of the cell vectors:
1 Ca 0.504 0.504 0.489
2 Au 0.314 0.314 0.057
3 Be 0.685 0.685 0.946
4 Be 0.997 0.997 0.008

Symmetry: Cm (8)
E_tot: -13.71 eV for the cell shown
Offset from the most stable computed form: 30.4 meV per atom
Calculated formation energy: -0.25 eV/atom

15.
Compound: CuIr3
Source: Alexandria via LeMat-Bulk
Functional: PBE
Structure: optimized geometry

Lattice parameters (Å, degrees): 4.883 4.883 4.883 90.00 90.00 90.00
Sites, in units of the cell vectors:
1 Ir 0.500 0.000 0.750
2 Ir 0.500 0.000 0.250
3 Ir 0.000 0.250 0.500
4 Ir 0.250 0.500 0.000
5 Ir 0.000 0.750 0.500
6 Ir 0.750 0.500 0.000
7 Cu 0.000 0.000 0.000
8 Cu 0.500 0.500 0.500

Symmetry: Pm-3n (223)
E_tot: -57.07 eV for the cell shown
Calculated formation energy: 0.54 eV/atom

16.
Compound: SiTc3
Source: Alexandria via LeMat-Bulk
Functional: PBE
Structure: optimized geometry

Lattice parameters (Å, degrees): 3.832 3.832 3.832 90.00 90.00 90.00
Sites, in units of the cell vectors:
1 Tc 0.000 0.500 0.500
2 Tc 0.500 0.500 0.000
3 Tc 0.500 0.000 0.500
4 Si 0.000 0.000 0.000

Symmetry: Pm-3m (221)
E_tot: -36.32 eV for the cell shown
Offset from the most stable computed form: 315.3 meV per atom

17.
Compound: La3InCo
Source: Alexandria via LeMat-Bulk
Functional: PBE
Structure: optimized geometry

Lattice parameters (Å, degrees): 4.689 4.689 8.442 90.00 90.00 90.00
Sites, in units of the cell vectors:
1 La 0.500 0.000 0.409
2 La 0.000 0.000 0.737
3 La 0.000 0.500 0.409
4 In 0.000 0.000 0.121
5 Co 0.500 0.500 0.587

Symmetry: P4mm (99)
E_tot: -23.10 eV for the cell shown
Offset from the most stable computed form: 596.9 meV per atom
Calculated formation energy: 0.31 eV/atom

18.
Compound: ZnRe2Br
Source: Alexandria via LeMat-Bulk
Functional: PBE
Structure: optimized geometry

Lattice parameters (Å, degrees): 5.693 5.693 3.154 73.97 73.97 124.37
Sites, in units of the cell vectors:
1 Zn 0.500 0.000 0.500
2 Re 0.000 0.000 0.000
3 Re 0.500 0.500 0.000
4 Br 0.000 0.500 0.500

Symmetry: C2/m (12)
E_tot: -23.86 eV for the cell shown
Offset from the most stable computed form: 727.7 meV per atom

19.
Compound: Ag2HgCl
Source: Alexandria via LeMat-Bulk
Functional: PBE
Structure: optimized geometry

Lattice parameters (Å, degrees): 4.939 4.939 4.939 60.00 60.00 60.00
Sites, in units of the cell vectors:
1 Ag 0.750 0.750 0.750
2 Ag 0.250 0.250 0.250
3 Hg 0.500 0.500 0.500
4 Cl 0.000 0.000 0.000

Symmetry: Fm-3m (225)
E_tot: -7.65 eV for the cell shown
Offset from the most stable computed form: 200.1 meV per atom

20.
Compound: AcHfTe2O
Source: Alexandria via LeMat-Bulk
Functional: PBE
Structure: optimized geometry

Lattice parameters (Å, degrees): 4.167 4.167 14.930 90.00 90.00 90.00
Sites, in units of the cell vectors:
1 Ac 0.500 0.000 0.588
2 Ac 0.000 0.500 0.412
3 O 0.000 0.000 0.500
4 O 0.500 0.500 0.500
5 Te 0.500 0.000 0.887
6 Te 0.500 0.000 0.275
7 Te 0.000 0.500 0.113
8 Te 0.000 0.500 0.725
9 Hf 0.000 0.500 0.917
10 Hf 0.500 0.000 0.083

Symmetry: P4/nmm (129)
E_tot: -68.08 eV for the cell shown